No. 1
# BaNa2Sr7 PBE optimized geometry
data_BaNa2Sr7
_chemical_formula_sum 'Ba2 Na4 Sr14'
_cell_length_a 13.951
_cell_length_b 19.152
_cell_length_c 4.241
_cell_angle_alpha 90.00
_cell_angle_beta 90.00
_cell_angle_gamma 90.00
_symmetry_space_group_name_H-M 'C m m m'
_symmetry_Int_Tables_number 65
_symmetry_space_group_name_Hall '-C 2 2'
loop_
_atom_site_label
_atom_site_type_symbol
_atom_site_fract_x
_atom_site_fract_y
_atom_site_fract_z
Ba1 Ba 0.000 0.000 0.000
Na1 Na 0.000 0.164 0.500
Sr1 Sr 0.000 0.316 0.000
Sr2 Sr 0.000 0.500 0.500
Sr3 Sr 0.249 0.119 0.500
# E above lowest polymorph, eV per atom: 0.000
# V, Å³/atom: 56.66
# Theoretical density, g/cm³: 2.3
# Total energy, eV per atom: -1.4643


No. 2
# ReMoOs PBE optimized geometry
data_ReMoOs
_chemical_formula_sum 'Re2 Mo2 Os2'
_cell_length_a 3.225
_cell_length_b 3.225
_cell_length_c 8.808
_cell_angle_alpha 90.00
_cell_angle_beta 90.00
_cell_angle_gamma 90.00
_symmetry_space_group_name_H-M 'I 4 m m'
_symmetry_Int_Tables_number 107
_symmetry_space_group_name_Hall 'I 4 -2'
loop_
_atom_site_label
_atom_site_type_symbol
_atom_site_fract_x
_atom_site_fract_y
_atom_site_fract_z
Re1 Re 0.000 0.000 0.000
Mo1 Mo 0.000 0.000 0.657
Os1 Os 0.000 0.000 0.325
# E above lowest polymorph, eV per atom: 0.304
# V, Å³/atom: 15.27
# Theoretical density, g/cm³: 17.1
# Total energy, eV per atom: -11.1563


No. 3
# NaGa6Ag PBE optimized geometry
data_NaGa6Ag
_chemical_formula_sum 'Na1 Ga6 Ag1'
_cell_length_a 5.409
_cell_length_b 5.409
_cell_length_c 5.409
_cell_angle_alpha 90.00
_cell_angle_beta 90.00
_cell_angle_gamma 90.00
_symmetry_space_group_name_H-M 'P m -3'
_symmetry_Int_Tables_number 200
_symmetry_space_group_name_Hall '-P 2 2 3'
loop_
_atom_site_label
_atom_site_type_symbol
_atom_site_fract_x
_atom_site_fract_y
_atom_site_fract_z
Na1 Na 0.000 0.000 0.000
Ga1 Ga 0.000 0.251 0.500
Ag1 Ag 0.500 0.500 0.500
# V, Å³/atom: 19.79
# Theoretical density, g/cm³: 5.8
# Total energy, eV per atom: -2.7231


V of number 3 (NaGa6Ag)? 19.79 Å³/atom


Please write out number 3 again, unchanged.
# NaGa6Ag PBE optimized geometry
data_NaGa6Ag
_chemical_formula_sum 'Na1 Ga6 Ag1'
_cell_length_a 5.409
_cell_length_b 5.409
_cell_length_c 5.409
_cell_angle_alpha 90.00
_cell_angle_beta 90.00
_cell_angle_gamma 90.00
_symmetry_space_group_name_H-M 'P m -3'
_symmetry_Int_Tables_number 200
_symmetry_space_group_name_Hall '-P 2 2 3'
loop_
_atom_site_label
_atom_site_type_symbol
_atom_site_fract_x
_atom_site_fract_y
_atom_site_fract_z
Na1 Na 0.000 0.000 0.000
Ga1 Ga 0.000 0.251 0.500
Ag1 Ag 0.500 0.500 0.500
# V, Å³/atom: 19.79
# Theoretical density, g/cm³: 5.8
# Total energy, eV per atom: -2.7231